Entry w
NaInHPb2 (PBE, optimized geometry); crystal system = tetragonal
1.0
-2.3388 4.3757 -0.7379
-4.3537 -2.1014 1.3380
0.8175 1.2046 4.5519
Pb Na H In
2 1 1 1
Direct
0.0000 0.5000 0.0000 Pb
0.5000 0.0000 0.0000 Pb
0.5000 0.5000 0.5000 Na
0.0000 0.0000 0.0000 H
0.0000 0.0000 0.5000 In

***

Entry x
NaInHPb2 (PBE, optimized geometry); crystal system = tetragonal
1.0
5.0329 0.0000 0.0000
0.0000 5.0329 0.0000
0.0000 0.0000 4.6658
Pb Na H In
2 1 1 1
Direct
0.0000 0.5000 0.0000 Pb
0.5000 0.0000 0.0000 Pb
0.0000 0.0000 0.5000 Na
0.0000 0.0000 0.0000 H
0.5000 0.5000 0.5000 In

***

entry x (71 meV per atom below the next structure)